{"formula": "Ac5SmS6", "functional": "PBE-GGA", "state": "optimized geometry", "cell": [[7.291, 0.190, 1.114], [1.805, 6.175, 3.602], [0.129, 0.059, 7.380]], "species": ["Ac", "Ac", "Ac", "Ac", "Ac", "S", "S", "S", "S", "S", "S", "Sm"], "fractional_positions": [[0.500, 0.169, 0.661], [0.000, 0.666, 0.668], [0.500, 0.831, 0.339], [0.000, 0.334, 0.332], [0.500, 0.500, 0.000], [0.246, 0.240, 0.000], [0.754, 0.760, 0.000], [0.241, 0.598, 0.323], [0.759, 0.080, 0.323], [0.759, 0.402, 0.677], [0.241, 0.920, 0.677], [0.000, 0.000, 0.000]], "dos_ef_per_ev_atom": 0.45, "formation_energy_uncorrected_ev_per_atom": -2.00, "density_g_cm3": 7.49}